Below is a relaxed structure of SrTlSiI2, with properties calculated at the GGA-PBE level.

Values from the calculation:
The value obtained for the total energy is -2.663 eV/atom. The calculation puts the uncorrected formation energy at -0.149 eV/atom.

```
data_SrTlSiI2
_chemical_formula_sum 'Sr1 Tl1 Si1 I2'
_space_group_name_H-M_alt 'P 4/m m m'
_space_group_IT_number 123
_space_group_name_Hall '-P 4 2'
_cell_length_a 6.365
_cell_length_b 6.365
_cell_length_c 6.291
_cell_angle_alpha 90.00
_cell_angle_beta 90.00
_cell_angle_gamma 90.00
loop_
_atom_site_label
_atom_site_type_symbol
_atom_site_fract_x
_atom_site_fract_y
_atom_site_fract_z
Sr1 Sr 0.000 0.000 0.000
Tl1 Tl 0.500 0.500 0.500
Si1 Si 0.000 0.000 0.500
I1 I 0.000 0.500 0.000
```